Here is crystalline Li2CaHg2Au2 at its relaxed geometry from Alexandria. Energies are from PBE-GGA.

```
data_Li2CaHg2Au2
_cell_length_a 4.7639
_cell_length_b 4.7639
_cell_length_c 22.1794
_cell_angle_alpha 90.00
_cell_angle_beta 90.00
_cell_angle_gamma 120.00
_symmetry_space_group_name_H-M 'R -3 m'
_symmetry_Int_Tables_number 166
_symmetry_space_group_name_Hall '-R 3 2"'
loop_
_atom_site_label
_atom_site_fract_x
_atom_site_fract_y
_atom_site_fract_z
Li1 0.0000 0.0000 0.1418
Ca1 0.0000 0.0000 0.0000
Hg1 0.0000 0.0000 0.2639
Au1 0.0000 0.0000 0.4347
```

***

Here is crystalline Li2CaHgAu2 at its relaxed geometry from Alexandria. Energies are from PBE-GGA.

```
data_Li2CaHgAu2
_cell_length_a 4.5776
_cell_length_b 4.5776
_cell_length_c 6.7066
_cell_angle_alpha 90.00
_cell_angle_beta 90.00
_cell_angle_gamma 120.00
_symmetry_space_group_name_H-M 'P -3 m 1'
_symmetry_Int_Tables_number 164
_symmetry_space_group_name_Hall '-P 3 2"'
loop_
_atom_site_label
_atom_site_fract_x
_atom_site_fract_y
_atom_site_fract_z
Li1 0.3333 0.6667 0.1639
Ca1 0.0000 0.0000 0.5000
Hg1 0.0000 0.0000 0.0000
Au1 0.3333 0.6667 0.7484
```

***

Here is crystalline CaLuHgAu at its relaxed geometry from Alexandria. Energies are from PBE-GGA.

```
data_CaLuHgAu
_cell_length_a 7.257
_cell_length_b 7.257
_cell_length_c 7.257
_cell_angle_alpha 90.00
_cell_angle_beta 90.00
_cell_angle_gamma 90.00
_symmetry_space_group_name_H-M 'F -4 3 m'
_symmetry_Int_Tables_number 216
_symmetry_space_group_name_Hall 'F -4 2 3'
loop_
_atom_site_label
_atom_site_fract_x
_atom_site_fract_y
_atom_site_fract_z
Ca1 0.000 0.000 0.000
Lu1 0.000 0.000 0.500
Hg1 0.250 0.250 0.750
Au1 0.250 0.250 0.250
```

***

Here is crystalline CaMg2HgAu4 at its relaxed geometry from Alexandria. Energies are from PBE-GGA.

```
data_CaMg2HgAu4
_cell_length_a 4.8394
_cell_length_b 4.8394
_cell_length_c 23.9037
_cell_angle_alpha 90.00
_cell_angle_beta 90.00
_cell_angle_gamma 120.00
_symmetry_space_group_name_H-M 'R -3 m'
_symmetry_Int_Tables_number 166
_symmetry_space_group_name_Hall '-R 3 2"'
loop_
_atom_site_label
_atom_site_fract_x
_atom_site_fract_y
_atom_site_fract_z
Ca1 0.0000 0.0000 0.0000
Mg1 0.0000 0.0000 0.2476
Hg1 0.0000 0.0000 0.5000
Au1 0.0000 0.0000 0.1238
Au2 0.0000 0.0000 0.3769
```

***

Here is crystalline CaMnHgAu2 at its relaxed geometry from Alexandria. Energies are from PBE-GGA.

```
data_CaMnHgAu2
_cell_length_a 5.264
_cell_length_b 5.264
_cell_length_c 5.012
_cell_angle_alpha 90.00
_cell_angle_beta 90.00
_cell_angle_gamma 90.00
_symmetry_space_group_name_H-M 'P 4/m m m'
_symmetry_Int_Tables_number 123
_symmetry_space_group_name_Hall '-P 4 2'
loop_
_atom_site_label
_atom_site_fract_x
_atom_site_fract_y
_atom_site_fract_z
Ca1 0.000 0.000 0.000
Mn1 0.500 0.500 0.000
Hg1 0.500 0.500 0.500
Au1 0.000 0.500 0.500
```

***

Here is crystalline CaHgMoAu2 at its relaxed geometry from Alexandria. Energies are from PBE-GGA.

```
data_CaHgMoAu2
_cell_length_a 5.060
_cell_length_b 5.060
_cell_length_c 5.647
_cell_angle_alpha 90.00
_cell_angle_beta 90.00
_cell_angle_gamma 90.00
_symmetry_space_group_name_H-M 'P 4/m m m'
_symmetry_Int_Tables_number 123
_symmetry_space_group_name_Hall '-P 4 2'
loop_
_atom_site_label
_atom_site_fract_x
_atom_site_fract_y
_atom_site_fract_z
Ca1 0.000 0.000 0.000
Hg1 0.500 0.500 0.000
Mo1 0.000 0.000 0.500
Au1 0.000 0.500 0.500
```

***

Here is crystalline CaHgMo2Au at its relaxed geometry from Alexandria. Energies are from PBE-GGA.

```
data_CaHgMo2Au
_cell_length_a 4.709
_cell_length_b 4.709
_cell_length_c 5.076
_cell_angle_alpha 90.00
_cell_angle_beta 90.00
_cell_angle_gamma 90.00
_symmetry_space_group_name_H-M 'P 4/m m m'
_symmetry_Int_Tables_number 123
_symmetry_space_group_name_Hall '-P 4 2'
loop_
_atom_site_label
_atom_site_fract_x
_atom_site_fract_y
_atom_site_fract_z
Ca1 0.000 0.000 0.000
Hg1 0.500 0.500 0.500
Mo1 0.000 0.500 0.000
Au1 0.000 0.000 0.500
```

***

Here is crystalline NaCaHgAu2 at its relaxed geometry from Alexandria. Energies are from PBE-GGA.

```
data_NaCaHgAu2
_cell_length_a 5.113
_cell_length_b 5.113
_cell_length_c 5.517
_cell_angle_alpha 90.00
_cell_angle_beta 90.00
_cell_angle_gamma 90.00
_symmetry_space_group_name_H-M 'P 4/m m m'
_symmetry_Int_Tables_number 123
_symmetry_space_group_name_Hall '-P 4 2'
loop_
_atom_site_label
_atom_site_fract_x
_atom_site_fract_y
_atom_site_fract_z
Na1 0.000 0.000 0.000
Ca1 0.000 0.000 0.500
Hg1 0.500 0.500 0.500
Au1 0.000 0.500 0.000
```

***

| no. | energy of formation from the pure elements (kJ/mol of formula units) | size of the total moment (μB per cell) | raw total energy (eV/atom) |
| --- | --- | --- | --- |
| 1 | -285 | 0.00 | -2.28 |
| 2 | -320 | 0.00 | -2.67 |
| 3 | -246 | 0.00 | -3.16 |
| 4 | -357 | 0.00 | -2.79 |
| 5 | 168 | 4.36 | -3.26 |
| 6 | 346 | 0.07 | -3.22 |
| 7 | 1037 | 0.00 | -3.30 |
| 8 | 137 | 0.00 | -1.75 |